# 1
Here is a relaxed Pm3PaO crystal from Alexandria. Energies are from GGA-PBE.

abc: 4.9798 4.9798 4.9798
angles: 90.00 90.00 90.00
With the nearest neighbours (Å) after each atom.
Space group Pm-3m (No. 221)
Unique sites:
Pm1 0.0000 0.0000 0.5000 x3  2 O 2.49
Pa1 0.5000 0.5000 0.5000 x1  12 Pm 3.52
O1 0.0000 0.0000 0.0000 x1  6 Pm 2.49

Computed properties:
M_tot = 0.005 μB per cell
E_form (uncorrected) = -0.85 eV per atom

---

# 2
Here is a relaxed K2ScAuBr6 crystal from Alexandria. Energies are from GGA-PBE.

abc: 7.9156 7.9739 8.0165
angles: 60.43 63.38 60.66
With the nearest neighbours (Å) after each atom.
Space group P1 (No. 1)
Unique sites:
K1 0.0000 0.0000 0.0000 x1  6 Br 3.28-3.60
K2 0.4423 0.4837 0.5834 x1  6 Br 3.30-3.48, 1 Au 3.62
Sc1 0.7716 0.7525 0.6947 x1  4 Br 2.56-2.63
Au1 0.2201 0.0383 0.4113 x1  2 Br 2.43
Br1 0.0648 0.5876 0.4321 x1  1 Sc 2.63
Br2 0.4554 0.0060 0.8624 x1  1 Sc 2.62
Br3 0.5762 0.9152 0.3826 x1  1 Au 2.43
Br4 0.6326 0.4558 0.8951 x1  1 Sc 2.57
Br5 0.8746 0.1255 0.4252 x1  1 Au 2.43
Br6 0.9963 0.6370 0.9098 x1  1 Sc 2.56

Computed properties:
relative energy among the computed polymorphs = 0.000 eV per atom
M_tot = 0.000 μB per cell
E_form (uncorrected) = -1.39 eV per atom